# VPH7N2O5 (PBE+U, relaxed)
# Volume in Å³ per atom: 9.1
# DFT total energy in eV per atom: -6.07
# Total magnetization in μB/atom: 0.06
# ρ in kg/m³: 2237
data_VPH7N2O5
_chemical_formula_sum 'V2 P2 H14 N4 O10'
_space_group_name_H-M_alt 'P 1 21 1'
_space_group_IT_number 4
_cell_length_a 6.884
_cell_length_b 4.964
_cell_length_c 8.559
_cell_angle_alpha 90.00
_cell_angle_beta 91.31
_cell_angle_gamma 90.00
loop_
_space_group_symop_operation_xyz
'x,y,z'
'-x,y+1/2,-z'
loop_
_atom_site_label
_atom_site_type_symbol
_atom_site_fract_x
_atom_site_fract_y
_atom_site_fract_z
V1 V 0.145 0.000 0.344
P1 P 0.126 0.953 0.726
H1 H 0.206 0.406 0.059
H2 H 0.260 0.480 0.479
H3 H 0.314 0.610 0.924
H4 H 0.335 0.272 0.913
H5 H 0.414 0.248 0.539
H6 H 0.429 0.366 0.360
H7 H 0.450 0.440 0.061
N1 N 0.327 0.433 0.990
N2 N 0.333 0.311 0.444
O1 O 0.037 0.282 0.194
O2 O 0.075 0.255 0.724
O3 O 0.122 0.831 0.555
O4 O 0.324 0.914 0.808
O5 O 0.329 0.857 0.258